[1]
First-principles (PBE-GGA) data for CuSe after structural relaxation, as listed in the Alexandria database.

Summary:
* SG: P6_3/mmc
* density: 6.49 g/cm³
* total energy: -3.54 eV per atom
* spin magnetization: 0.00 μB per formula unit

Lattice parameters (Å, degrees): 4.0178 4.0178 10.4300 90.00 90.00 120.00
Sites, in units of the cell vectors:
Se (0.3333, 0.6667, 0.1053)
Se (0.6667, 0.3333, 0.8947)
Se (0.6667, 0.3333, 0.6053)
Se (0.3333, 0.6667, 0.3947)
Cu (0.3333, 0.6667, 0.7500)
Cu (0.0000, 0.0000, 0.2500)
Cu (0.6667, 0.3333, 0.2500)
Cu (0.0000, 0.0000, 0.7500)

[2]
First-principles (PBE-GGA) data for CuSe after structural relaxation, as listed in the Alexandria database.

Summary:
* SG: Pbca
* density: 6.34 g/cm³
* total energy: -3.85 eV per atom
* spin magnetization: 0.00 μB per formula unit

Lattice parameters (Å, degrees): 7.1600 6.0434 6.9018 90.00 90.00 90.00
Sites, in units of the cell vectors:
Cu (0.1460, 0.9321, 0.1072)
Cu (0.6460, 0.5679, 0.8928)
Cu (0.3540, 0.0679, 0.6072)
Cu (0.8540, 0.4321, 0.3928)
Cu (0.6460, 0.9321, 0.3928)
Cu (0.8540, 0.0679, 0.8928)
Cu (0.3540, 0.4321, 0.1072)
Cu (0.1460, 0.5679, 0.6072)
Se (0.6649, 0.2539, 0.1456)
Se (0.6649, 0.2461, 0.6456)
Se (0.3351, 0.7539, 0.3544)
Se (0.8351, 0.7539, 0.1456)
Se (0.3351, 0.7461, 0.8544)
Se (0.8351, 0.7461, 0.6456)
Se (0.1649, 0.2539, 0.3544)
Se (0.1649, 0.2461, 0.8544)

[3]
First-principles (PBE-GGA) data for CuSe2 after structural relaxation, as listed in the Alexandria database.

Summary:
* SG: Cm
* density: 5.24 g/cm³
* total energy: -3.70 eV per atom
* spin magnetization: 0.00 μB per formula unit

Lattice parameters (Å, degrees): 5.8035 5.8035 7.0194 103.31 103.31 37.72
Sites, in units of the cell vectors:
Se (0.3728, 0.3728, 0.1110)
Se (0.8463, 0.8463, 0.6302)
Se (0.6259, 0.6259, 0.6453)
Se (0.6192, 0.6192, 0.9910)
Cu (0.3874, 0.3874, 0.4464)
Cu (0.9816, 0.9816, 0.0095)

[4]
First-principles (PBE-GGA) data for Cu3Se after structural relaxation, as listed in the Alexandria database.

Summary:
* SG: R-3m
* density: 7.93 g/cm³
* total energy: -3.67 eV per atom
* spin magnetization: 0.00 μB per formula unit

Lattice parameters (Å, degrees): 8.4605 8.4605 8.4605 19.06 19.06 19.06
Sites, in units of the cell vectors:
Cu (0.5000, 0.5000, 0.5000)
Cu (0.2443, 0.2443, 0.2443)
Cu (0.7557, 0.7557, 0.7557)
Se (0.0000, 0.0000, 0.0000)

[5]
First-principles (PBE-GGA) data for CuSe2 after structural relaxation, as listed in the Alexandria database.

Summary:
* SG: Cmcm
* density: 4.82 g/cm³
* total energy: -3.61 eV per atom
* spin magnetization: 0.00 μB per formula unit

Lattice parameters (Å, degrees): 7.9587 7.9587 5.5059 90.00 90.00 154.05
Sites, in units of the cell vectors:
Cu (0.6047, 0.3953, 0.7500)
Cu (0.3953, 0.6047, 0.2500)
Se (0.2024, 0.7976, 0.7500)
Se (0.7976, 0.2024, 0.2500)
Se (0.0040, 0.9960, 0.7500)
Se (0.9960, 0.0040, 0.2500)

[6]
First-principles (PBE-GGA) data for CuSe after structural relaxation, as listed in the Alexandria database.

Summary:
* SG: P6_3mc
* density: 5.70 g/cm³
* total energy: -3.91 eV per atom
* spin magnetization: 0.00 μB per formula unit

Lattice parameters (Å, degrees): 3.8052 3.8052 6.6238 90.00 90.00 120.00
Sites, in units of the cell vectors:
Cu (0.6667, 0.3333, 0.5061)
Cu (0.3333, 0.6667, 0.0061)
Se (0.6667, 0.3333, 0.8649)
Se (0.3333, 0.6667, 0.3649)

[7]
First-principles (PBE-GGA) data for Cu3Se after structural relaxation, as listed in the Alexandria database.

Summary:
* SG: C2/m
* density: 8.10 g/cm³
* total energy: -3.81 eV per atom
* spin magnetization: 0.00 μB per formula unit

Lattice parameters (Å, degrees): 4.7861 4.7861 3.7100 66.51 66.51 46.21
Sites, in units of the cell vectors:
Cu (0.5000, 0.5000, 0.5000)
Cu (0.7500, 0.7500, 0.7515)
Cu (0.2500, 0.2500, 0.2485)
Se (0.0000, 0.0000, 0.0000)

[8]
First-principles (PBE-GGA) data for CuSe3 after structural relaxation, as listed in the Alexandria database.

Summary:
* SG: Fm-3m
* density: 6.70 g/cm³
* total energy: -3.07 eV per atom
* spin magnetization: 0.00 μB per formula unit

Lattice parameters (Å, degrees): 4.7212 4.7212 4.7212 60.00 60.00 60.00
Sites, in units of the cell vectors:
Se (0.7500, 0.7500, 0.7500)
Se (0.2500, 0.2500, 0.2500)
Se (0.5000, 0.5000, 0.5000)
Cu (0.0000, 0.0000, 0.0000)

[9]
First-principles (PBE-GGA) data for CuSe2 after structural relaxation, as listed in the Alexandria database.

Summary:
* SG: Cmcm
* density: 6.53 g/cm³
* total energy: -3.71 eV per atom
* spin magnetization: 0.00 μB per formula unit

Lattice parameters (Å, degrees): 6.0065 6.0065 5.3177 90.00 90.00 144.03
Sites, in units of the cell vectors:
Se (0.7038, 0.2962, 0.0000)
Se (0.7406, 0.2594, 0.5000)
Se (0.0287, 0.9713, 0.5000)
Se (0.4158, 0.5842, 0.0000)
Cu (0.0585, 0.9415, 0.0000)
Cu (0.3859, 0.6141, 0.5000)

[10]
First-principles (PBE-GGA) data for Cu3Se after structural relaxation, as listed in the Alexandria database.

Summary:
* SG: Pmmn
* density: 7.88 g/cm³
* total energy: -3.82 eV per atom
* spin magnetization: 0.00 μB per formula unit

Lattice parameters (Å, degrees): 4.1288 5.2408 5.2493 90.00 90.00 90.00
Sites, in units of the cell vectors:
Cu (0.0000, 0.7187, 0.5000)
Cu (0.0000, 0.1450, 0.7478)
Cu (0.5000, 0.8550, 0.7522)
Cu (0.0000, 0.1450, 0.2522)
Cu (0.5000, 0.2813, 0.0000)
Cu (0.5000, 0.8550, 0.2478)
Se (0.0000, 0.6273, 0.0000)
Se (0.5000, 0.3727, 0.5000)

[11]
First-principles (PBE-GGA) data for CuSe2 after structural relaxation, as listed in the Alexandria database.

Summary:
* SG: Pa-3
* density: 6.27 g/cm³
* total energy: -3.77 eV per atom
* spin magnetization: 0.00 μB per formula unit

Lattice parameters (Å, degrees): 6.1660 6.1660 6.1690 90.00 90.00 90.00
Sites, in units of the cell vectors:
Se (0.6114, 0.1114, 0.1112)
Se (0.1114, 0.1114, 0.3888)
Se (0.1114, 0.3886, 0.8888)
Se (0.6114, 0.3886, 0.6112)
Se (0.8886, 0.8886, 0.6112)
Se (0.8886, 0.6114, 0.1112)
Se (0.3886, 0.8886, 0.8888)
Se (0.3886, 0.6114, 0.3888)
Cu (0.5000, 0.5000, 0.0000)
Cu (0.5000, 0.0000, 0.5000)
Cu (0.0000, 0.5000, 0.5000)
Cu (0.0000, 0.0000, 0.0000)

[12]
First-principles (PBE-GGA) data for CuSe after structural relaxation, as listed in the Alexandria database.

Summary:
* SG: I4/m
* density: 4.87 g/cm³
* total energy: -3.82 eV per atom
* spin magnetization: 0.00 μB per formula unit

Lattice parameters (Å, degrees): 10.0173 10.0173 3.8777 90.00 90.00 90.00
Sites, in units of the cell vectors:
Se (0.9091, 0.7218, 0.5000)
Se (0.7782, 0.4091, 0.0000)
Se (0.0909, 0.2782, 0.5000)
Se (0.4091, 0.2218, 0.0000)
Se (0.5909, 0.7782, 0.0000)
Se (0.2782, 0.9091, 0.5000)
Se (0.2218, 0.5909, 0.0000)
Se (0.7218, 0.0909, 0.5000)
Cu (0.7077, 0.8539, 0.5000)
Cu (0.1461, 0.7077, 0.5000)
Cu (0.7923, 0.6461, 0.0000)
Cu (0.2923, 0.1461, 0.5000)
Cu (0.3539, 0.7923, 0.0000)
Cu (0.2077, 0.3539, 0.0000)
Cu (0.8539, 0.2923, 0.5000)
Cu (0.6461, 0.2077, 0.0000)

[13]
First-principles (PBE-GGA) data for CuSe2 after structural relaxation, as listed in the Alexandria database.

Summary:
* SG: Pnnm
* density: 6.12 g/cm³
* total energy: -3.78 eV per atom
* spin magnetization: 0.00 μB per formula unit

Lattice parameters (Å, degrees): 3.8116 5.0287 6.2668 90.00 90.00 90.00
Sites, in units of the cell vectors:
Se (0.0000, 0.8116, 0.6137)
Se (0.0000, 0.1884, 0.3863)
Se (0.5000, 0.6884, 0.1137)
Se (0.5000, 0.3116, 0.8863)
Cu (0.0000, 0.0000, 0.0000)
Cu (0.5000, 0.5000, 0.5000)

[14]
First-principles (PBE-GGA) data for CuSe2 after structural relaxation, as listed in the Alexandria database.

Summary:
* SG: P4/mmm
* density: 6.08 g/cm³
* total energy: -3.39 eV per atom
* spin magnetization: 0.00 μB per formula unit

Lattice parameters (Å, degrees): 3.4985 3.4985 4.9391 90.00 90.00 90.00
Sites, in units of the cell vectors:
Cu (0.0000, 0.0000, 0.0000)
Se (0.0000, 0.0000, 0.5000)
Se (0.5000, 0.5000, 0.0000)

[15]
First-principles (PBE-GGA) data for CuSe3 after structural relaxation, as listed in the Alexandria database.

Summary:
* SG: P6_3/mmc
* density: 6.24 g/cm³
* total energy: -3.38 eV per atom
* spin magnetization: 0.00 μB per formula unit

Lattice parameters (Å, degrees): 7.3107 7.3107 3.4529 90.00 90.00 120.00
Sites, in units of the cell vectors:
Se (0.1800, 0.8200, 0.7500)
Se (0.8200, 0.1800, 0.2500)
Se (0.8200, 0.6400, 0.2500)
Se (0.1800, 0.3600, 0.7500)
Se (0.6400, 0.8200, 0.7500)
Se (0.3600, 0.1800, 0.2500)
Cu (0.6667, 0.3333, 0.7500)
Cu (0.3333, 0.6667, 0.2500)

[16]
First-principles (PBE-GGA) data for CuSe3 after structural relaxation, as listed in the Alexandria database.

Summary:
* SG: Pm-3m
* density: 4.46 g/cm³
* total energy: -3.04 eV per atom
* spin magnetization: 0.00 μB per formula unit

Lattice parameters (Å, degrees): 4.8188 4.8188 4.8188 90.00 90.00 90.00
Sites, in units of the cell vectors:
Se (0.0000, 0.0000, 0.5000)
Se (0.5000, 0.0000, 0.0000)
Se (0.0000, 0.5000, 0.0000)
Cu (0.0000, 0.0000, 0.0000)

[17]
First-principles (PBE-GGA) data for CuSe2 after structural relaxation, as listed in the Alexandria database.

Summary:
* SG: R3m
* density: 5.98 g/cm³
* total energy: -3.63 eV per atom
* spin magnetization: 0.00 μB per formula unit

Lattice parameters (Å, degrees): 5.3770 5.3770 5.3770 41.42 41.42 41.42
Sites, in units of the cell vectors:
Se (0.5798, 0.5798, 0.5798)
Se (0.7531, 0.7531, 0.7531)
Cu (0.0004, 0.0004, 0.0004)

[18]
First-principles (PBE-GGA) data for CuSe after structural relaxation, as listed in the Alexandria database.

Summary:
* SG: P6_3/mmc
* density: 6.55 g/cm³
* total energy: -3.38 eV per atom
* spin magnetization: 0.00 μB per formula unit

Lattice parameters (Å, degrees): 4.8114 4.8114 7.2038 90.00 90.00 120.00
Sites, in units of the cell vectors:
Cu (0.6667, 0.3333, 0.9154)
Cu (0.3333, 0.6667, 0.0846)
Cu (0.6667, 0.3333, 0.5846)
Cu (0.3333, 0.6667, 0.4154)
Se (0.6667, 0.3333, 0.2500)
Se (0.3333, 0.6667, 0.7500)
Se (0.0000, 0.0000, 0.7500)
Se (0.0000, 0.0000, 0.2500)

[19]
First-principles (PBE-GGA) data for CuSe after structural relaxation, as listed in the Alexandria database.

Summary:
* SG: Cmme
* density: 6.47 g/cm³
* total energy: -3.62 eV per atom
* spin magnetization: 0.00 μB per formula unit

Lattice parameters (Å, degrees): 2.8290 2.8290 9.3101 90.00 90.00 100.84
Sites, in units of the cell vectors:
Se (0.0000, 0.0000, 0.5804)
Se (0.5000, 0.5000, 0.1696)
Cu (0.5000, 0.5000, 0.7812)
Cu (0.0000, 0.0000, 0.9688)

[20]
First-principles (PBE-GGA) data for CuSe3 after structural relaxation, as listed in the Alexandria database.

Summary:
* SG: Pmmn
* density: 5.26 g/cm³
* total energy: -3.45 eV per atom
* spin magnetization: 0.00 μB per formula unit

Lattice parameters (Å, degrees): 3.7295 5.9076 8.6152 90.00 90.00 90.00
Sites, in units of the cell vectors:
Se (0.5000, 0.8136, 0.7951)
Se (0.5000, 0.8136, 0.2049)
Se (0.5000, 0.5134, 0.0000)
Se (0.0000, 0.1864, 0.7049)
Se (0.0000, 0.4866, 0.5000)
Se (0.0000, 0.1864, 0.2951)
Cu (0.5000, 0.1954, 0.5000)
Cu (0.0000, 0.8046, 0.0000)

[21]
First-principles (PBE-GGA) data for CuSe after structural relaxation, as listed in the Alexandria database.

Summary:
* SG: P6_3/m
* density: 4.78 g/cm³
* total energy: -3.86 eV per atom
* spin magnetization: 0.00 μB per formula unit

Lattice parameters (Å, degrees): 9.3291 9.3291 3.9383 90.00 90.00 120.00
Sites, in units of the cell vectors:
Cu (0.5784, 0.6326, 0.7500)
Cu (0.4216, 0.3674, 0.2500)
Cu (0.6326, 0.0542, 0.2500)
Cu (0.0542, 0.4216, 0.7500)
Cu (0.9458, 0.5784, 0.2500)
Cu (0.3674, 0.9458, 0.7500)
Se (0.5970, 0.8951, 0.7500)
Se (0.7019, 0.5970, 0.2500)
Se (0.8951, 0.2981, 0.2500)
Se (0.4030, 0.1049, 0.2500)
Se (0.2981, 0.4030, 0.7500)
Se (0.1049, 0.7019, 0.7500)

[22]
First-principles (PBE-GGA) data for CuSe after structural relaxation, as listed in the Alexandria database.

Summary:
* SG: Cm
* density: 5.76 g/cm³
* total energy: -3.73 eV per atom
* spin magnetization: 0.00 μB per formula unit

Lattice parameters (Å, degrees): 5.8206 5.8206 8.3099 73.21 73.21 27.31
Sites, in units of the cell vectors:
Se (0.9254, 0.9254, 0.5201)
Se (0.2476, 0.2476, 0.1098)
Se (0.0737, 0.0737, 0.8649)
Cu (0.6062, 0.6062, 0.3423)
Cu (0.3025, 0.3025, 0.3702)
Cu (0.6780, 0.6780, 0.6261)

[23]
First-principles (PBE-GGA) data for CuSe after structural relaxation, as listed in the Alexandria database.

Summary:
* SG: I-43m
* density: 4.55 g/cm³
* total energy: -3.78 eV per atom
* spin magnetization: 0.00 μB per formula unit

Lattice parameters (Å, degrees): 7.4677 7.4677 7.4677 90.00 90.00 90.00
Sites, in units of the cell vectors:
Cu (0.1441, 0.1441, 0.1441)
Cu (0.3559, 0.3559, 0.6441)
Cu (0.6441, 0.6441, 0.6441)
Cu (0.1441, 0.8559, 0.8559)
Cu (0.8559, 0.1441, 0.8559)
Cu (0.8559, 0.8559, 0.1441)
Cu (0.3559, 0.6441, 0.3559)
Cu (0.6441, 0.3559, 0.3559)
Se (0.8241, 0.1759, 0.1759)
Se (0.3241, 0.6759, 0.6759)
Se (0.6759, 0.3241, 0.6759)
Se (0.8241, 0.8241, 0.8241)
Se (0.3241, 0.3241, 0.3241)
Se (0.6759, 0.6759, 0.3241)
Se (0.1759, 0.8241, 0.1759)
Se (0.1759, 0.1759, 0.8241)

[24]
First-principles (PBE-GGA) data for Cu5Se after structural relaxation, as listed in the Alexandria database.

Summary:
* SG: P4/mmm
* density: 8.05 g/cm³
* total energy: -3.84 eV per atom
* spin magnetization: 0.00 μB per formula unit

Lattice parameters (Å, degrees): 2.6968 2.6968 11.2517 90.00 90.00 90.00
Sites, in units of the cell vectors:
Cu (0.5000, 0.5000, 0.6493)
Cu (0.0000, 0.0000, 0.7988)
Cu (0.0000, 0.0000, 0.5000)
Cu (0.5000, 0.5000, 0.3507)
Cu (0.0000, 0.0000, 0.2012)
Se (0.5000, 0.5000, 0.0000)

[25]
First-principles (PBE-GGA) data for CuSe2 after structural relaxation, as listed in the Alexandria database.

Summary:
* density: 5.75 g/cm³
* total energy: -3.65 eV per atom
* spin magnetization: 0.00 μB per formula unit

Lattice parameters (Å, degrees): 5.9930 5.9930 5.1865 103.59 103.58 126.40
Sites, in units of the cell vectors:
Se (0.6014, 0.8984, 0.2499)
Se (0.8516, 0.6485, 0.7499)
Se (0.1484, 0.3515, 0.2501)
Se (0.3986, 0.1016, 0.7501)
Cu (0.3746, 0.1246, 0.2500)
Cu (0.6254, 0.8754, 0.7500)

[26]
First-principles (PBE-GGA) data for CuSe2 after structural relaxation, as listed in the Alexandria database.

Summary:
* SG: P-6m2
* density: 5.73 g/cm³
* total energy: -3.65 eV per atom
* spin magnetization: 0.00 μB per formula unit

Lattice parameters (Å, degrees): 3.7774 3.7774 5.1914 90.00 90.00 120.00
Sites, in units of the cell vectors:
Se (0.0000, 0.0000, 0.7681)
Se (0.0000, 0.0000, 0.2319)
Cu (0.3333, 0.6667, 0.5000)